# 1
The following is a DFT calculation (PBE-GGA) of a relaxed structure of In14GaPb.

Density of states at the Fermi level = 0.341 states/eV/atom
Formation energy = 24 meV/atom

Cell lengths 7.028, 7.028, 8.743 Å; angles 90.00, 90.00, 90.00 degrees
Fractional positions:
Pb 0.875 0.875 0.500
In 0.619 0.619 0.251
In 0.131 0.131 0.251
In 0.875 0.875 0.000
In 0.875 0.375 0.000
In 0.131 0.131 0.749
In 0.375 0.875 0.000
In 0.875 0.375 0.500
In 0.375 0.375 0.000
In 0.131 0.619 0.749
In 0.375 0.875 0.500
In 0.619 0.131 0.749
In 0.619 0.619 0.749
In 0.131 0.619 0.251
In 0.619 0.131 0.251
Ga 0.374 0.374 0.500

# 2
The following is a DFT calculation (PBE-GGA) of a relaxed structure of In9Ga2Pb.

Density of states at the Fermi level = 0.468 states/eV/atom
Formation energy = 40 meV/atom

Cell lengths 4.521, 4.521, 15.418 Å; angles 90.02, 90.12, 90.00 degrees
Fractional positions:
Ga 0.000 0.000 0.339
Ga 0.000 0.000 0.661
In 0.500 0.500 0.337
In 0.500 0.000 0.500
In 0.500 0.000 0.823
In 0.000 0.500 0.500
In 0.500 0.500 0.663
In 0.000 0.500 0.177
In 0.000 0.500 0.823
In 0.500 0.500 0.000
In 0.500 0.000 0.177
Pb 0.000 0.000 0.000

# 3
The following is a DFT calculation (PBE-GGA) of a relaxed structure of In5Ga4Pb2.

Density of states at the Fermi level = 0.355 states/eV/atom
Formation energy = 59 meV/atom
Energy relative to the lowest polymorph listed for this composition = 0.000 eV per atom

Cell lengths 6.303, 6.767, 7.816 Å; angles 74.69, 89.67, 62.12 degrees
Fractional positions:
In 0.626 0.202 0.105
In 0.122 0.205 0.071
In 0.878 0.795 0.929
In 0.374 0.798 0.895
In 0.000 0.000 0.500
Pb 0.208 0.569 0.330
Pb 0.792 0.431 0.670
Ga 0.494 0.897 0.379
Ga 0.506 0.103 0.621
Ga 0.730 0.527 0.246
Ga 0.270 0.473 0.754

# 4
The following is a DFT calculation (PBE-GGA) of a relaxed structure of InGa3Pb.

Density of states at the Fermi level = 0.339 states/eV/atom
Formation energy = 35 meV/atom
Energy relative to the lowest polymorph listed for this composition = 0.000 eV per atom

Cell lengths 5.971, 5.971, 8.487 Å; angles 67.00, 67.00, 60.19 degrees
Fractional positions:
Ga 0.874 0.392 0.352
Ga 0.126 0.608 0.648
Ga 0.132 0.132 0.633
Ga 0.868 0.868 0.367
Ga 0.392 0.874 0.352
Ga 0.608 0.126 0.648
In 0.160 0.160 0.015
In 0.840 0.840 0.985
Pb 0.571 0.571 0.784
Pb 0.429 0.429 0.216

# 5
The following is a DFT calculation (PBE-GGA) of a relaxed structure of In2GaPb.

Density of states at the Fermi level = 0.292 states/eV/atom
Formation energy = 35 meV/atom
Energy relative to the lowest polymorph listed for this composition = 0.000 eV per atom

Cell lengths 4.749, 3.330, 9.725 Å; angles 90.16, 90.02, 43.50 degrees
Fractional positions:
Pb 0.225 0.203 0.313
Ga 0.223 0.205 0.813
In 0.723 0.206 0.036
In 0.723 0.203 0.590

# 6
The following is a DFT calculation (PBE-GGA) of a relaxed structure of InGaPb.

Density of states at the Fermi level = 0.323 states/eV/atom
Formation energy = 80 meV/atom
Energy relative to the lowest polymorph listed for this composition = 0.052 eV per atom

Cell lengths 3.412, 3.412, 16.128 Å; angles 83.93, 83.93, 60.00 degrees
Fractional positions:
Pb 0.135 0.135 0.596
Pb 0.865 0.865 0.404
In 0.744 0.744 0.769
In 0.256 0.256 0.231
Ga 0.314 0.314 0.058
Ga 0.686 0.686 0.942

# 7
The following is a DFT calculation (PBE-GGA) of a relaxed structure of InGa6Pb2.

Density of states at the Fermi level = 0.307 states/eV/atom
Formation energy = 32 meV/atom

Cell lengths 5.989, 5.989, 6.601 Å; angles 90.00, 89.99, 60.00 degrees
Fractional positions:
Ga 0.178 0.178 0.348
Ga 0.822 0.357 0.652
Ga 0.822 0.822 0.652
Ga 0.357 0.822 0.652
Ga 0.643 0.178 0.348
Ga 0.178 0.643 0.348
Pb 0.667 0.667 0.130
Pb 0.333 0.333 0.870
In 0.000 0.000 0.000

# 8
The following is a DFT calculation (PBE-GGA) of a relaxed structure of In7GaPb4.

Density of states at the Fermi level = 0.328 states/eV/atom
Formation energy = 48 meV/atom

Cell lengths 5.910, 12.141, 6.965 Å; angles 77.92, 89.09, 45.94 degrees
Fractional positions:
In 0.500 0.000 0.000
In 0.897 0.341 0.297
In 0.103 0.659 0.703
In 0.766 0.989 0.419
In 0.135 0.648 0.211
In 0.865 0.352 0.789
In 0.234 0.011 0.581
Pb 0.563 0.699 0.405
Pb 0.587 0.672 0.921
Pb 0.437 0.301 0.595
Pb 0.413 0.328 0.079
Ga 0.000 0.000 0.000

# 9
The following is a DFT calculation (PBE-GGA) of a relaxed structure of InGaPb.

Density of states at the Fermi level = 0.518 states/eV/atom
Formation energy = 57 meV/atom
Energy relative to the lowest polymorph listed for this composition = 0.029 eV per atom

Cell lengths 4.965, 3.554, 9.365 Å; angles 90.00, 104.22, 90.00 degrees
Fractional positions:
In 0.249 0.500 0.412
In 0.947 0.500 0.024
Pb 0.674 0.000 0.269
Pb 0.901 0.000 0.645
Ga 0.382 0.000 0.947
Ga 0.457 0.500 0.737

# 10
The following is a DFT calculation (PBE-GGA) of a relaxed structure of InGa10Pb2.

Density of states at the Fermi level = 0.472 states/eV/atom
Formation energy = 109 meV/atom

Cell lengths 5.519, 8.809, 13.111 Å; angles 90.00, 90.00, 90.00 degrees
Fractional positions:
Ga 0.000 0.112 0.782
Ga 0.000 0.105 0.382
Ga 0.273 0.354 0.700
Ga 0.727 0.646 0.300
Ga 0.000 0.388 0.282
Ga 0.000 0.315 0.074
Ga 0.000 0.815 0.426
Ga 0.000 0.605 0.118
Ga 0.727 0.354 0.700
Ga 0.000 0.185 0.574
Ga 0.000 0.685 0.926
Ga 0.000 0.895 0.618
Ga 0.727 0.854 0.800
Ga 0.000 0.888 0.218
Ga 0.000 0.395 0.882
Ga 0.273 0.646 0.300
Ga 0.727 0.146 0.200
Ga 0.273 0.854 0.800
Ga 0.000 0.612 0.718
Ga 0.273 0.146 0.200
In 0.000 0.000 0.000
In 0.000 0.500 0.500
Pb 0.500 0.300 0.432
Pb 0.500 0.800 0.068
Pb 0.500 0.700 0.568
Pb 0.500 0.200 0.932

# 11
The following is a DFT calculation (PBE-GGA) of a relaxed structure of In7GaPb12.

Density of states at the Fermi level = 0.453 states/eV/atom
Formation energy = 41 meV/atom

Cell lengths 7.393, 11.707, 9.972 Å; angles 49.70, 77.16, 96.78 degrees
Fractional positions:
Pb 0.098 0.841 0.670
Pb 0.199 0.602 0.482
Pb 0.570 0.875 0.408
Pb 0.414 0.207 0.184
Pb 0.723 0.565 0.715
Pb 0.902 0.159 0.330
Pb 0.230 0.512 0.888
Pb 0.770 0.488 0.112
Pb 0.586 0.793 0.816
Pb 0.430 0.125 0.592
Pb 0.277 0.435 0.285
Pb 0.801 0.398 0.518
In 0.500 0.000 0.000
In 0.071 0.913 0.309
In 0.656 0.697 0.226
In 0.137 0.751 0.055
In 0.863 0.249 0.945
In 0.344 0.303 0.774
In 0.929 0.087 0.691
Ga 0.000 0.000 0.000

# 12
The following is a DFT calculation (PBE-GGA) of a relaxed structure of In2GaPb8.

Density of states at the Fermi level = 0.515 states/eV/atom
Formation energy = 26 meV/atom
Energy relative to the lowest polymorph listed for this composition = 0.000 eV per atom

Cell lengths 4.739, 7.933, 9.382 Å; angles 104.66, 104.63, 90.00 degrees
Fractional positions:
Pb 0.134 0.177 0.268
Pb 0.319 0.096 0.638
Pb 0.408 0.543 0.815
Pb 0.866 0.823 0.732
Pb 0.681 0.904 0.362
Pb 0.042 0.737 0.084
Pb 0.592 0.457 0.185
Pb 0.958 0.263 0.916
In 0.229 0.632 0.458
In 0.771 0.368 0.542
Ga 0.500 0.000 0.000

> Look up the formation energy of the seventh one.

32 meV/atom

> The highest formation energy belongs to which entry?

InGa10Pb2

> Which of these has the highest density of states at the Fermi level?

number 9

> Among the records above, which one has the lowest density of states at the Fermi level?

In2GaPb